Material: LiCoI2O
Method: DFT, GGA+U
State: relaxed

## Properties
The energy above the most stable polymorph in this dataset comes out at 0 meV per atom.

a = 5.793 Å, b = 5.793 Å, c = 3.615 Å
α = 90.00°, β = 90.00°, γ = 90.00°
Fractional positions:
I (0.000, 0.500, 0.000)
I (0.500, 0.000, 0.000)
Co (0.000, 0.000, 0.000)
O (0.000, 0.000, 0.500)
Li (0.500, 0.500, 0.500)